The following is a DFT calculation (GGA-PBE) of a relaxed structure of TaAl2Se.

Output
* formation energy from raw total energies: 95 meV/atom
* symmetry: Pmmm

Cell: 3.135 4.572 4.823 Å, 90.00 90.00 90.00°
Atoms (fractional coordinates):
Al1 0.000 0.000 0.000
Al2 0.500 0.500 0.000
Se1 0.500 0.000 0.500
Ta1 0.000 0.500 0.500

The following is a DFT calculation (GGA-PBE) of a relaxed structure of ScRh.

Output
* symmetry: I4/mmm
* energy of formation from the pure elements: -681 meV/atom

Cell: 8.522 8.522 4.117 Å, 90.00 90.00 90.00°
Atoms (fractional coordinates):
Rh1 0.164 0.164 0.000
Rh2 0.836 0.164 0.000
Rh3 0.664 0.664 0.500
Rh4 0.836 0.836 0.000
Rh5 0.336 0.336 0.500
Rh6 0.336 0.664 0.500
Rh7 0.664 0.336 0.500
Rh8 0.164 0.836 0.000
Sc1 0.000 0.274 0.500
Sc2 0.274 0.000 0.500
Sc3 0.000 0.726 0.500
Sc4 0.226 0.500 0.000
Sc5 0.774 0.500 0.000
Sc6 0.726 0.000 0.500
Sc7 0.500 0.774 0.000
Sc8 0.500 0.226 0.000

The following is a DFT calculation (GGA-PBE) of a relaxed structure of NpPa2P.

Output
* relative energy among the computed polymorphs: 0.95 eV per formula unit
* symmetry: R-3m
* energy of formation from the pure elements: -168 meV/atom

Cell: 3.470 3.470 9.220 Å, 79.15 79.15 60.00°
Atoms (fractional coordinates):
P1 0.500 0.500 0.500
Pa1 0.236 0.236 0.291
Pa2 0.764 0.764 0.709
Np1 0.000 0.000 0.000

The following is a DFT calculation (GGA-PBE) of a relaxed structure of Th6Ir2SeS3.

Output
* formation energy from raw total energies: -1468 meV/atom
* symmetry: C2/m

Cell: 4.062 8.457 9.314 Å, 102.56 102.59 90.00°
Atoms (fractional coordinates):
Th1 0.998 0.738 0.996
Th2 0.330 0.433 0.661
Th3 0.670 0.567 0.339
Th4 0.002 0.262 0.004
Th5 0.329 0.907 0.657
Th6 0.671 0.093 0.343
S1 0.837 0.170 0.674
S2 0.500 0.500 0.000
S3 0.163 0.830 0.326
Ir1 0.834 0.674 0.669
Ir2 0.166 0.326 0.331
Se1 0.500 0.000 0.000

The following is a DFT calculation (GGA-PBE) of a relaxed structure of Pr4GePtCl2.

Output
* formation energy from raw total energies: -1258 meV/atom
* symmetry: P2/m

Cell: 4.206 7.354 7.645 Å, 71.32 90.00 90.00°
Atoms (fractional coordinates):
Pr1 0.000 0.280 0.231
Pr2 0.000 0.720 0.769
Pr3 0.500 0.734 0.256
Pr4 0.500 0.266 0.744
Ge1 0.000 0.500 0.500
Cl1 0.500 0.000 0.500
Cl2 0.000 0.000 0.000
Pt1 0.500 0.500 0.000

The following is a DFT calculation (GGA-PBE) of a relaxed structure of CaBeAgHg2.

Output
* symmetry: P4/mmm
* energy of formation from the pure elements: -93 meV/atom

Cell: 4.775 4.775 4.744 Å, 90.00 90.00 90.00°
Atoms (fractional coordinates):
Be1 0.000 0.000 0.000
Ca1 0.500 0.500 0.500
Hg1 0.500 0.000 0.000
Hg2 0.000 0.500 0.000
Ag1 0.000 0.000 0.500

The following is a DFT calculation (GGA-PBE) of a relaxed structure of Ba2LiDy.

Output
* relative energy among the computed polymorphs: 0.67 eV per formula unit
* symmetry: R-3m
* energy of formation from the pure elements: 374 meV/atom

Cell: 3.784 3.784 13.426 Å, 81.90 81.90 60.00°
Atoms (fractional coordinates):
Li1 0.500 0.500 0.500
Ba1 0.089 0.089 0.732
Ba2 0.911 0.911 0.268
Dy1 0.000 0.000 0.000

The following is a DFT calculation (GGA-PBE) of a relaxed structure of Co2SbBr.

Output
* formation energy from raw total energies: 196 meV/atom
* relative energy among the computed polymorphs: 0.32 eV per formula unit
* symmetry: Cm

Cell: 6.404 6.404 3.521 Å, 73.97 73.97 35.29°
Atoms (fractional coordinates):
Br1 0.202 0.202 0.922
Sb1 0.482 0.482 0.643
Co1 0.837 0.837 0.788
Co2 0.979 0.979 0.146

The following is a DFT calculation (GGA-PBE) of a relaxed structure of Tb2PrRuN4.

Output
* formation energy from raw total energies: -991 meV/atom
* symmetry: Cmcm

Cell: 3.466 6.131 11.691 Å, 90.00 90.00 106.42°
Atoms (fractional coordinates):
Ru1 0.146 0.291 0.250
Ru2 0.854 0.709 0.750
N1 0.000 0.000 0.000
N2 0.562 0.123 0.250
N3 0.733 0.466 0.628
N4 0.267 0.534 0.128
N5 0.000 0.000 0.500
N6 0.438 0.877 0.750
N7 0.733 0.466 0.872
N8 0.267 0.534 0.372
Pr1 0.882 0.764 0.250
Pr2 0.118 0.236 0.750
Tb1 0.369 0.738 0.957
Tb2 0.631 0.262 0.043
Tb3 0.631 0.262 0.457
Tb4 0.369 0.738 0.543

The following is a DFT calculation (GGA-PBE) of a relaxed structure of BaZrUS6.

Output
* formation energy from raw total energies: -1500 meV/atom
* symmetry: P-31c

Cell: 6.702 6.702 13.598 Å, 90.00 90.00 120.00°
Atoms (fractional coordinates):
Ba1 0.000 0.000 0.000
Ba2 0.000 0.000 0.500
Zr1 0.333 0.667 0.750
Zr2 0.667 0.333 0.250
S1 0.385 0.002 0.640
S2 0.998 0.383 0.640
S3 0.615 0.998 0.360
S4 0.383 0.998 0.140
S5 0.615 0.617 0.140
S6 0.617 0.002 0.860
S7 0.617 0.615 0.640
S8 0.383 0.385 0.360
S9 0.002 0.617 0.360
S10 0.002 0.385 0.140
S11 0.385 0.383 0.860
S12 0.998 0.615 0.860
U1 0.667 0.333 0.750
U2 0.333 0.667 0.250

The following is a DFT calculation (GGA-PBE) of a relaxed structure of CdIrSe2.

Output
* formation energy from raw total energies: 253 meV/atom
* symmetry: P4/mmm

Cell: 3.123 3.123 8.791 Å, 90.00 90.00 90.00°
Atoms (fractional coordinates):
Cd1 0.500 0.500 0.250
Se1 0.000 0.000 0.925
Se2 0.000 0.000 0.575
Ir1 0.500 0.500 0.750

The following is a DFT calculation (GGA-PBE) of a relaxed structure of ZrTe2Ir.

Output
* formation energy from raw total energies: -239 meV/atom
* relative energy among the computed polymorphs: 1.58 eV per formula unit
* symmetry: P4/mmm

Cell: 3.642 4.742 4.742 Å, 90.00 90.00 90.00°
Atoms (fractional coordinates):
Te1 0.000 0.000 0.000
Te2 0.000 0.500 0.500
Zr1 0.500 0.500 0.000
Ir1 0.500 0.000 0.500

Calculated total energy? In order: -22.44; -120.36; -38.01; -95.72; -43.54; -9.65; -8.86; -19.22; -129.09; -120.05; -15.73; -24.65 eV per cell.